# ScTaRh

Crystalline ScTaRh at its relaxed geometry (PBEsol, the Alexandria database).

POSCAR file:
```
ScTaRh
1.0
-2.3625 -0.8718 -1.6642
2.1050 -2.0093 0.8017
-3.3747 -1.3432 5.4944
Ta Rh Sc
1 1 1
direct
0.6667 0.3333 0.3115 Ta
0.0000 0.0000 0.0088 Rh
0.3333 0.6667 0.6797 Sc
```

Output
- Space group: P3m1
- Calculated volume: 52 Å³/cell
- Final energy: -27.8 eV/cell

# ScTaRh2

Crystalline ScTaRh2 at its relaxed geometry (PBEsol, the Alexandria database).

POSCAR file:
```
ScTaRh2
1.0
3.0237 0.0000 0.0000
-1.5119 4.0847 0.0084
0.0000 -1.0119 5.3656
Rh Ta Sc
2 1 1
direct
0.7447 0.4894 0.7338 Rh
0.2553 0.5106 0.2662 Rh
0.0000 0.0000 0.5000 Ta
0.5000 0.0000 0.0000 Sc
```

Output
- Space group: C2/m
- Calculated volume: 66 Å³/cell
- Final energy: -36.7 eV/cell

# ScTeRh3

Crystalline ScTeRh3 at its relaxed geometry (PBEsol, the Alexandria database).

POSCAR file:
```
ScTeRh3
1.0
-0.4717 3.8659 2.6805
-4.6679 -0.7191 0.2155
0.5839 -2.6250 3.8886
Sc Te Rh
1 1 3
direct
0.5000 0.5000 0.5000 Sc
0.0000 0.0000 0.0000 Te
0.5000 0.0000 0.0000 Rh
0.0000 0.0000 0.5000 Rh
0.0000 0.5000 0.0000 Rh
```

Output
- Space group: Pm-3m
- Calculated volume: 106 Å³/cell
- Final energy: -32.2 eV/cell

# Sc2TeRh

Crystalline Sc2TeRh at its relaxed geometry (PBEsol, the Alexandria database).

POSCAR file:
```
Sc2TeRh
1.0
-1.7341 1.9594 2.4053
-3.9425 -0.5481 -2.3958
-0.3568 -3.7139 2.7682
Sc Rh Te
2 1 1
direct
0.0000 0.5000 0.0000 Sc
0.0000 0.0000 0.5000 Sc
0.5000 0.5000 0.5000 Rh
0.5000 0.0000 0.0000 Te
```

Output
- Space group: Cmmm
- Calculated volume: 76 Å³/cell
- Final energy: -27.9 eV/cell